Entry 1:
{
  "formula": "MnNi4Se",
  "functional": "GGA-PBE",
  "state": "relaxed",
  "lattice_angstrom": [[0.000, 3.386, 3.386], [3.386, 0.000, 3.386], [3.386, 3.386, 0.000]],
  "species": ["Mn", "Ni", "Ni", "Ni", "Ni", "Se"],
  "frac_coords": [[0.000, 0.000, 0.000], [0.876, 0.375, 0.375], [0.375, 0.375, 0.876], [0.375, 0.876, 0.375], [0.375, 0.375, 0.375], [0.750, 0.750, 0.750]],
  "formation_energy_uncorrected_kj_per_mol_atoms": 16.57,
  "dos_at_fermi_per_ev_fu": 8.22,
  "dft_energy_ev_per_atom": -5.7915
}

=====

Entry 2:
{
  "formula": "MnNi2Se",
  "functional": "GGA-PBE",
  "state": "relaxed",
  "lattice_angstrom": [[-0.943, -1.908, 7.480], [-2.956, -3.578, 6.239], [-0.205, -4.473, 6.358]],
  "species": ["Mn", "Ni", "Ni", "Se"],
  "frac_coords": [[0.750, 0.750, 0.750], [0.999, 0.999, 0.999], [0.501, 0.501, 0.501], [0.250, 0.250, 0.250]],
  "formation_energy_uncorrected_kj_per_mol_atoms": 17.95,
  "dos_at_fermi_per_ev_fu": 2.21,
  "dft_energy_ev_per_atom": -5.8682
}

=====

Entry 3:
{
  "formula": "MnNi2Se6",
  "functional": "GGA-PBE",
  "state": "relaxed",
  "lattice_angstrom": [[3.614, 0.000, 0.000], [-1.807, 5.133, -2.437], [0.000, -1.349, 10.852]],
  "species": ["Mn", "Ni", "Ni", "Se", "Se", "Se", "Se", "Se", "Se"],
  "frac_coords": [[0.000, 0.000, 0.500], [0.669, 0.339, 0.834], [0.331, 0.661, 0.166], [0.002, 0.004, 0.725], [0.668, 0.335, 0.051], [0.332, 0.665, 0.949], [0.675, 0.351, 0.617], [0.325, 0.649, 0.383], [0.998, 0.996, 0.275]],
  "formation_energy_uncorrected_kj_per_mol_atoms": -29.55,
  "dos_at_fermi_per_ev_fu": 3.33,
  "dft_energy_ev_per_atom": -4.9328
}